(1)
8
Lattice="2.174 -5.773 0.000 2.174 5.773 0.000 0.000 0.000 9.048" Properties=species:S:1:pos:R:3 comment="Pb3Au | the Alexandria database | PBE | optimized geometry" final_energy_ev_per_atom=-3.66 magmom_total_mub_per_fu=0.0 ef_ev_per_atom=-0.056 pbc="T T T"
Pb 2.174 5.069 6.786
Pb 2.174 1.601 5.016
Pb 2.174 1.601 8.557
Pb 2.174 -1.601 0.492
Pb 2.174 -1.601 4.032
Pb 2.174 -5.069 2.262
Au 2.174 2.906 2.262
Au 2.174 -2.906 6.786

***

(2)
12
Lattice="7.744 -2.241 0.000 7.744 2.241 0.000 -4.499 0.000 7.908" Properties=species:S:1:pos:R:3 comment="Pd2Pb5Au5 | the Alexandria database | PBE | optimized geometry" final_energy_ev_per_atom=-3.86 magmom_total_mub_per_fu=0.0 ef_ev_per_atom=-0.087 pbc="T T T"
Pd -0.745 0.000 3.075
Pd 11.734 0.000 4.833
Pb 2.184 0.000 2.732
Pb 5.313 0.000 0.347
Pb 5.494 0.000 3.954
Pb 5.676 0.000 7.561
Pb 8.805 0.000 5.176
Au 0.000 0.000 0.000
Au -1.014 0.000 5.902
Au 2.970 0.000 6.148
Au 8.019 0.000 1.760
Au 12.003 0.000 2.006

***

(3)
13
Lattice="6.552 -3.779 0.000 6.552 3.779 0.000 -0.799 0.000 4.789" Properties=species:S:1:pos:R:3 comment="Pd8Pb2Au3 | the Alexandria database | PBE | optimized geometry" final_energy_ev_per_atom=-4.57 magmom_total_mub_per_fu=0.0 ef_ev_per_atom=-0.047 pbc="T T T"
Pd 0.577 0.000 1.313
Pd 3.599 1.540 3.747
Pd 3.895 0.000 1.402
Pd 8.706 1.540 1.042
Pd 3.599 -1.540 3.747
Pd 8.411 0.000 3.388
Pd 8.706 -1.540 1.042
Pd 11.728 0.000 3.476
Pb 1.383 0.000 3.900
Pb 10.922 0.000 0.889
Au 6.153 1.427 2.395
Au 6.552 0.000 0.000
Au 6.153 -1.427 2.395

***

(4)
11
Lattice="8.780 -2.264 0.000 8.780 2.264 0.000 -0.732 0.000 7.675" Properties=species:S:1:pos:R:3 comment="PdPb8Au2 | the Alexandria database | PBE | optimized geometry" final_energy_ev_per_atom=-3.83 magmom_total_mub_per_fu=0.0 ef_ev_per_atom=-0.068 pbc="T T T"
Pd 0.000 0.000 0.000
Pb 1.313 0.000 4.205
Pb 2.804 0.000 0.027
Pb 4.627 0.000 5.041
Pb 8.145 0.000 5.950
Pb 8.683 0.000 1.725
Pb 12.201 0.000 2.635
Pb 14.025 0.000 7.648
Pb 15.515 0.000 3.470
Au 5.405 0.000 1.879
Au 11.423 0.000 5.797

***

(5)
10
Lattice="7.099 -2.820 0.000 7.099 2.820 0.000 -0.104 0.000 4.698" Properties=species:S:1:pos:R:3 comment="Pd6PbAu3 | the Alexandria database | PBE | optimized geometry" final_energy_ev_per_atom=-4.47 magmom_total_mub_per_fu=0.0 ef_ev_per_atom=0.000 pbc="T T T"
Pd 4.959 1.413 3.531
Pd 2.452 0.000 3.536
Pd 9.134 1.413 1.168
Pd 4.959 -1.413 3.531
Pd 11.642 0.000 1.163
Pd 9.134 -1.413 1.168
Pb 7.099 0.000 0.000
Au -0.052 0.000 2.349
Au 4.446 0.000 1.201
Au 9.648 0.000 3.498

***

(6)
4
Lattice="1.665 0.961 10.153 -1.665 0.961 10.153 0.000 -1.923 10.153" Properties=species:S:1:pos:R:3 comment="PdPb2Au | the Alexandria database | PBE | optimized geometry" final_energy_ev_per_atom=-3.78 magmom_total_mub_per_fu=0.0 ef_ev_per_atom=0.188 pbc="T T T"
Pd 0.000 0.000 0.000
Pb 0.000 0.000 2.691
Pb 0.000 0.000 27.767
Au 0.000 0.000 15.229

***

(7)
4
Lattice="2.040 1.178 6.926 -2.040 1.178 6.926 0.000 -2.355 6.926" Properties=species:S:1:pos:R:3 comment="PdPb2Au | the Alexandria database | PBE | optimized geometry" final_energy_ev_per_atom=-4.02 magmom_total_mub_per_fu=0.0 ef_ev_per_atom=-0.051 pbc="T T T"
Pd 0.000 0.000 0.000
Pb 0.000 0.000 8.599
Pb 0.000 0.000 12.307
Au 0.000 0.000 17.402

***

(8)
20
Lattice="7.780 0.000 0.000 0.000 6.945 0.000 -5.476 0.000 9.442" Properties=species:S:1:pos:R:3 comment="PdPb3Au | the Alexandria database | PBE | optimized geometry" final_energy_ev_per_atom=-4.04 magmom_total_mub_per_fu=0.0 ef_ev_per_atom=-0.124 pbc="T T T"
Pd -0.333 1.314 0.598
Pd -3.070 2.158 5.319
Pd 5.375 4.787 4.123
Pd 2.637 5.631 8.843
Pb -3.240 4.736 6.907
Pb -0.502 5.682 2.186
Pb -0.958 0.024 5.393
Pb 1.779 3.449 0.672
Pb 2.400 0.167 0.709
Pb -0.338 3.305 5.430
Pb 2.642 3.640 4.012
Pb -0.095 6.778 8.732
Pb 0.525 3.496 8.770
Pb 3.263 6.921 4.049
Pb 2.806 1.263 7.255
Pb 5.544 2.209 2.535
Au 0.728 1.443 3.226
Au -2.009 2.029 7.946
Au 4.314 4.916 1.495
Au 1.576 5.502 6.216